Entry 1:
# TbNd2Lu (PBE, relaxed)
# **Density of states at the Fermi level**: 1.4540 states/eV per atom
# **ΔE to the lowest computed polymorph**: 4 meV per atom
# **Total DFT energy (no corrections)**: -18.595 eV for the cell shown
# **E_form**: 0.0229 eV/atom
data_TbNd2Lu
_chemical_formula_sum 'Tb1 Nd2 Lu1'
_symmetry_space_group_name_H-M 'P 4/m m m'
_symmetry_Int_Tables_number 123
_symmetry_space_group_name_Hall '-P 4 2'
_cell_length_a 3.6101
_cell_length_b 3.6101
_cell_length_c 10.0838
_cell_angle_alpha 90.00
_cell_angle_beta 90.00
_cell_angle_gamma 90.00
loop_
_atom_site_label
_atom_site_type_symbol
_atom_site_fract_x
_atom_site_fract_y
_atom_site_fract_z
Tb1 Tb 0.0000 0.0000 0.0000
Nd1 Nd 0.5000 0.5000 0.2535
Lu1 Lu 0.0000 0.0000 0.5000


Entry 2:
# Sm2ErCo9 (PBE, relaxed)
# **Density of states at the Fermi level**: 1.3684 states/eV per atom
# **Total DFT energy (no corrections)**: -238.326 eV for the cell shown
# **E_form**: -0.1240 eV/atom
data_Sm2ErCo9
_chemical_formula_sum 'Sm6 Er3 Co27'
_symmetry_space_group_name_H-M 'R -3 m'
_symmetry_Int_Tables_number 166
_symmetry_space_group_name_Hall '-R 3 2"'
_cell_length_a 4.9776
_cell_length_b 4.9776
_cell_length_c 24.7238
_cell_angle_alpha 90.00
_cell_angle_beta 90.00
_cell_angle_gamma 120.00
loop_
_atom_site_label
_atom_site_type_symbol
_atom_site_fract_x
_atom_site_fract_y
_atom_site_fract_z
Sm1 Sm 0.0000 0.0000 0.1394
Er1 Er 0.0000 0.0000 0.0000
Co1 Co 0.0000 0.0000 0.3339
Co2 Co 0.0000 0.0000 0.5000
Co3 Co 0.0007 0.5003 0.0793


> What is the formula in the second record?

Sm2ErCo9